(1)
GaCuSi2 | PBE-GGA | relaxed

abc: 4.398 4.398 4.398
angles: 60.00 60.00 60.00
Sites, in units of the cell vectors:
1 Ga 0.000 0.000 0.000
2 Cu 0.250 0.250 0.250
3 Si 0.500 0.500 0.500
4 Si 0.750 0.750 0.750

Results
Space-group type ... F-43m, No. 216

(2)
SmGa6Cu6 | PBE-GGA | relaxed

abc: 6.663 6.663 6.663
angles: 134.32 99.60 97.74
Sites, in units of the cell vectors:
1 Sm 0.000 0.000 0.000
2 Ga 0.198 0.698 0.500
3 Ga 0.347 0.000 0.347
4 Ga 0.349 0.349 0.000
5 Ga 0.651 0.651 0.000
6 Ga 0.653 0.000 0.653
7 Ga 0.802 0.302 0.500
8 Cu 0.000 0.000 0.500
9 Cu 0.000 0.500 0.000
10 Cu 0.233 0.500 0.733
11 Cu 0.500 0.000 0.000
12 Cu 0.500 0.500 0.500
13 Cu 0.767 0.500 0.267

Results
Space-group type ... Immm, No. 71

(3)
SrGa2Cu | PBE-GGA | relaxed

abc: 4.885 4.885 4.885
angles: 60.00 60.00 60.00
Sites, in units of the cell vectors:
1 Sr 0.000 0.000 0.000
2 Ga 0.500 0.500 0.500
3 Ga 0.750 0.750 0.750
4 Cu 0.250 0.250 0.250

Results
Space-group type ... F-43m, No. 216

no.,ρ (g cm⁻³),VASP energy (eV/atom)
1,5.2,-4.03
2,8.1,-3.77
3,5.9,-2.95